Below is CuAgOs after structural relaxation, with properties calculated at the PBE level.

Values from the calculation:
energy relative to the elements = 0.516 eV/atom
relative energy among the computed polymorphs = 0.112 eV per atom
size of the total moment = 0.00 μB/cell

a = 6.511 Å, b = 6.509 Å, c = 6.509 Å
α = 156.39°, β = 156.40°, γ = 33.63°
Sites, in units of the cell vectors:
Ag (0.995, 0.995, 0.000)
Cu (0.328, 0.328, 0.000)
Os (0.677, 0.677, 0.000)

Below is CuAgOs3 after structural relaxation, with properties calculated at the PBE level.

Values from the calculation:
energy relative to the elements = 2.200 eV/atom
relative energy among the computed polymorphs = 0.000 eV per atom
size of the total moment = 2.19 μB/cell

a = 4.467 Å, b = 4.467 Å, c = 4.467 Å
α = 90.00°, β = 90.00°, γ = 90.00°
Sites, in units of the cell vectors:
Os (0.000, 0.500, 0.000)
Os (0.000, 0.000, 0.500)
Os (0.500, 0.000, 0.000)
Cu (0.000, 0.000, 0.000)
Ag (0.500, 0.500, 0.500)

Below is CuAg2Os after structural relaxation, with properties calculated at the PBE level.

Values from the calculation:
energy relative to the elements = 0.777 eV/atom
relative energy among the computed polymorphs = 0.442 eV per atom
size of the total moment = 1.00 μB/cell

a = 4.912 Å, b = 4.912 Å, c = 4.912 Å
α = 132.99°, β = 132.99°, γ = 68.67°
Sites, in units of the cell vectors:
Ag (0.000, 0.000, 0.000)
Ag (0.500, 0.500, 0.000)
Cu (0.250, 0.750, 0.500)
Os (0.750, 0.250, 0.500)

Below is CuAg2Os after structural relaxation, with properties calculated at the PBE level.

Values from the calculation:
energy relative to the elements = 0.410 eV/atom
relative energy among the computed polymorphs = 0.076 eV per atom
size of the total moment = 0.00 μB/cell

a = 2.721 Å, b = 2.721 Å, c = 9.557 Å
α = 90.00°, β = 90.00°, γ = 117.71°
Sites, in units of the cell vectors:
Ag (0.000, 0.000, 0.996)
Ag (0.500, 0.500, 0.265)
Cu (0.000, 0.000, 0.507)
Os (0.500, 0.500, 0.732)

Below is Cu2AgOs after structural relaxation, with properties calculated at the PBE level.

Values from the calculation:
energy relative to the elements = 0.404 eV/atom
relative energy among the computed polymorphs = 0.141 eV per atom
size of the total moment = 0.00 μB/cell

a = 3.812 Å, b = 2.619 Å, c = 6.259 Å
α = 65.54°, β = 90.00°, γ = 90.00°
Sites, in units of the cell vectors:
Ag (0.500, 0.750, 0.750)
Cu (0.000, 0.975, 0.024)
Cu (0.000, 0.525, 0.476)
Os (0.500, 0.250, 0.250)

Below is Cu2AgOs after structural relaxation, with properties calculated at the PBE level.

Values from the calculation:
energy relative to the elements = 0.386 eV/atom
relative energy among the computed polymorphs = 0.123 eV per atom
size of the total moment = 0.00 μB/cell

a = 5.122 Å, b = 5.122 Å, c = 4.741 Å
α = 68.22°, β = 68.22°, γ = 29.25°
Sites, in units of the cell vectors:
Ag (0.253, 0.253, 0.172)
Cu (0.009, 0.009, 0.069)
Cu (0.746, 0.746, 0.673)
Os (0.492, 0.492, 0.586)

Below is Cu2AgOs after structural relaxation, with properties calculated at the PBE level.

Values from the calculation:
energy relative to the elements = 0.533 eV/atom
relative energy among the computed polymorphs = 0.270 eV per atom
size of the total moment = 0.00 μB/cell

a = 5.355 Å, b = 5.355 Å, c = 5.355 Å
α = 151.60°, β = 126.63°, γ = 61.56°
Sites, in units of the cell vectors:
Ag (0.750, 0.250, 0.500)
Cu (0.007, 0.007, 0.000)
Cu (0.493, 0.493, 0.000)
Os (0.250, 0.750, 0.500)

Below is CuAg2Os after structural relaxation, with properties calculated at the PBE level.

Values from the calculation:
energy relative to the elements = 0.853 eV/atom
relative energy among the computed polymorphs = 0.519 eV per atom
size of the total moment = 1.75 μB/cell

a = 4.480 Å, b = 4.480 Å, c = 4.480 Å
α = 60.00°, β = 60.00°, γ = 60.00°
Sites, in units of the cell vectors:
Os (0.500, 0.500, 0.500)
Cu (0.000, 0.000, 0.000)
Ag (0.250, 0.250, 0.250)
Ag (0.750, 0.750, 0.750)

- Number 2 is which compound?
  CuAgOs3

- Look up the relative energy among the computed polymorphs of the fourth one.
  0.076 eV per atom

- energy relative to the elements of number 7 (Cu2AgOs)?
  0.533 eV/atom